The following is a PBE calculation of a geometry-optimized Dy2Er9Th structure, from the Alexandria database.

Output
energy relative to the elements: 0.028 eV/atom

Unit cell a=4.982 b=4.982 c=14.911 alpha=90.00 beta=90.00 gamma=90.00
Sites, in units of the cell vectors:
Dy1 0.000 0.000 0.333
Dy2 0.000 0.000 0.667
Er1 0.500 0.500 0.000
Er2 0.500 0.500 0.335
Er3 0.500 0.500 0.665
Er4 0.500 0.000 0.165
Er5 0.500 0.000 0.500
Er6 0.500 0.000 0.835
Er7 0.000 0.500 0.165
Er8 0.000 0.500 0.500
Er9 0.000 0.500 0.835
Th1 0.000 0.000 0.000

The following is a PBE calculation of a geometry-optimized Dy5Er12Th2 structure, from the Alexandria database.

Output
energy relative to the elements: 0.122 eV/atom
energy relative to the lowest polymorph listed for this composition: 0.000 eV/atom

Unit cell a=6.041 b=9.531 c=11.984 alpha=118.37 beta=96.59 gamma=91.20
Sites, in units of the cell vectors:
Dy1 0.490 0.616 0.669
Dy2 0.107 0.703 0.158
Dy3 0.000 0.000 0.500
Dy4 0.893 0.297 0.842
Dy5 0.510 0.384 0.331
Er1 0.825 0.046 0.226
Er2 0.036 0.657 0.846
Er3 0.570 0.673 0.985
Er4 0.080 0.643 0.454
Er5 0.621 0.698 0.285
Er6 0.579 0.916 0.601
Er7 0.421 0.084 0.399
Er8 0.920 0.357 0.546
Er9 0.379 0.302 0.715
Er10 0.964 0.343 0.154
Er11 0.430 0.327 0.015
Er12 0.175 0.954 0.774
Th1 0.724 0.986 0.919
Th2 0.276 0.014 0.081

The following is a PBE calculation of a geometry-optimized Dy3Er9Th2 structure, from the Alexandria database.

Output
energy relative to the elements: 0.111 eV/atom

Unit cell a=5.557 b=11.637 c=13.992 alpha=45.82 beta=53.43 gamma=44.26
Sites, in units of the cell vectors:
Dy1 0.833 0.153 0.958
Dy2 0.081 0.119 0.160
Dy3 0.793 0.858 0.946
Er1 0.202 0.393 0.472
Er2 0.371 0.014 0.738
Er3 0.715 0.868 0.322
Er4 0.340 0.636 0.137
Er5 0.538 0.616 0.691
Er6 0.963 0.843 0.516
Er7 0.066 0.109 0.514
Er8 0.844 0.551 0.886
Er9 0.218 0.379 0.142
Th1 0.455 0.330 0.700
Th2 0.583 0.629 0.316

The following is a PBE calculation of a geometry-optimized Dy3Er5Th3 structure, from the Alexandria database.

Output
energy relative to the elements: 0.891 eV/atom
energy relative to the lowest polymorph listed for this composition: 0.489 eV/atom

Unit cell a=5.315 b=9.643 c=9.643 alpha=120.00 beta=90.00 gamma=90.00
Sites, in units of the cell vectors:
Dy1 0.000 0.573 0.573
Dy2 0.000 0.427 0.000
Dy3 0.000 0.000 0.427
Er1 0.500 0.333 0.667
Er2 0.500 0.667 0.333
Er3 0.500 0.370 0.370
Er4 0.500 0.000 0.630
Er5 0.500 0.630 0.000
Th1 0.500 0.746 0.746
Th2 0.500 0.000 0.254
Th3 0.500 0.254 0.000

The following is a PBE calculation of a geometry-optimized Dy6ErTh3 structure, from the Alexandria database.

Output
energy relative to the elements: 0.348 eV/atom

Unit cell a=9.829 b=9.829 c=6.937 alpha=44.89 beta=44.89 gamma=60.00
Sites, in units of the cell vectors:
Dy1 0.930 0.599 0.204
Dy2 0.267 0.930 0.204
Dy3 0.599 0.267 0.204
Dy4 0.101 0.433 0.696
Dy5 0.770 0.101 0.696
Dy6 0.433 0.770 0.696
Er1 0.850 0.850 0.450
Th1 0.350 0.350 0.950
Th2 0.601 0.601 0.197
Th3 0.099 0.099 0.703

The following is a PBE calculation of a geometry-optimized Dy7Er12Th structure, from the Alexandria database.

Output
energy relative to the elements: 0.242 eV/atom
energy relative to the lowest polymorph listed for this composition: 0.000 eV/atom

Unit cell a=8.638 b=8.638 c=8.638 alpha=89.04 beta=89.04 gamma=89.04
Sites, in units of the cell vectors:
Dy1 0.844 0.619 0.952
Dy2 0.381 0.048 0.156
Dy3 0.048 0.156 0.381
Dy4 0.500 0.500 0.500
Dy5 0.952 0.844 0.619
Dy6 0.619 0.952 0.844
Dy7 0.156 0.381 0.048
Er1 0.864 0.284 0.742
Er2 0.716 0.258 0.136
Er3 0.619 0.146 0.502
Er4 0.854 0.498 0.381
Er5 0.258 0.136 0.716
Er6 0.498 0.381 0.854
Er7 0.502 0.619 0.146
Er8 0.742 0.864 0.284
Er9 0.146 0.502 0.619
Er10 0.381 0.854 0.498
Er11 0.284 0.742 0.864
Er12 0.136 0.716 0.258
Th1 0.000 0.000 0.000

The following is a PBE calculation of a geometry-optimized Dy3Er4Th structure, from the Alexandria database.

Output
energy relative to the elements: 0.021 eV/atom
energy relative to the lowest polymorph listed for this composition: 0.000 eV/atom

Unit cell a=6.215 b=7.190 c=11.291 alpha=90.00 beta=90.00 gamma=90.00
Sites, in units of the cell vectors:
Dy1 0.646 0.623 0.000
Dy2 0.977 0.623 0.249
Dy3 0.477 0.377 0.251
Dy4 0.146 0.377 0.500
Dy5 0.477 0.377 0.749
Dy6 0.977 0.623 0.751
Er1 0.147 0.875 0.000
Er2 0.647 0.127 0.000
Er3 0.986 0.126 0.249
Er4 0.486 0.874 0.251
Er5 0.147 0.873 0.500
Er6 0.647 0.125 0.500
Er7 0.486 0.874 0.749
Er8 0.986 0.126 0.751
Th1 0.149 0.376 0.000
Th2 0.649 0.624 0.500

The following is a PBE calculation of a geometry-optimized DyEr5Th2 structure, from the Alexandria database.

Output
energy relative to the elements: 0.098 eV/atom

Unit cell a=3.500 b=8.763 c=8.763 alpha=78.51 beta=78.48 gamma=78.48
Sites, in units of the cell vectors:
Dy1 0.000 0.000 0.000
Er1 0.000 0.500 0.500
Er2 0.630 0.602 0.137
Er3 0.370 0.398 0.863
Er4 0.370 0.863 0.398
Er5 0.630 0.137 0.602
Th1 0.741 0.759 0.759
Th2 0.259 0.241 0.241

The following is a PBE calculation of a geometry-optimized Dy15Er4Th structure, from the Alexandria database.

Output
energy relative to the elements: 0.023 eV/atom

Unit cell a=5.011 b=5.011 c=24.966 alpha=90.00 beta=90.00 gamma=90.00
Sites, in units of the cell vectors:
Dy1 0.500 0.500 0.000
Dy2 0.500 0.500 0.201
Dy3 0.500 0.500 0.400
Dy4 0.500 0.500 0.600
Dy5 0.500 0.500 0.799
Dy6 0.500 0.000 0.099
Dy7 0.500 0.000 0.300
Dy8 0.500 0.000 0.500
Dy9 0.500 0.000 0.700
Dy10 0.500 0.000 0.901
Dy11 0.000 0.500 0.099
Dy12 0.000 0.500 0.300
Dy13 0.000 0.500 0.500
Dy14 0.000 0.500 0.700
Dy15 0.000 0.500 0.901
Er1 0.000 0.000 0.200
Er2 0.000 0.000 0.400
Er3 0.000 0.000 0.600
Er4 0.000 0.000 0.800
Th1 0.000 0.000 0.000

The following is a PBE calculation of a geometry-optimized Dy3Er8Th structure, from the Alexandria database.

Output
energy relative to the elements: 0.777 eV/atom

Unit cell a=7.642 b=7.642 c=9.376 alpha=114.05 beta=114.05 gamma=90.00
Sites, in units of the cell vectors:
Dy1 0.250 0.750 0.500
Dy2 0.500 0.500 0.000
Dy3 0.750 0.250 0.500
Er1 0.875 0.375 0.249
Er2 0.375 0.375 0.249
Er3 0.125 0.125 0.751
Er4 0.625 0.125 0.751
Er5 0.375 0.875 0.249
Er6 0.875 0.875 0.249
Er7 0.625 0.625 0.751
Er8 0.125 0.625 0.751
Th1 0.000 0.000 0.000

The following is a PBE calculation of a geometry-optimized Dy7Er3Th structure, from the Alexandria database.

Output
energy relative to the elements: 0.191 eV/atom
energy relative to the lowest polymorph listed for this composition: 0.036 eV/atom

Unit cell a=8.585 b=7.024 c=7.024 alpha=120.00 beta=90.00 gamma=90.00
Sites, in units of the cell vectors:
Dy1 0.120 0.170 0.830
Dy2 0.120 0.170 0.339
Dy3 0.114 0.667 0.333
Dy4 0.449 0.832 0.168
Dy5 0.449 0.336 0.168
Dy6 0.449 0.832 0.664
Dy7 0.120 0.661 0.830
Er1 0.782 0.499 0.501
Er2 0.782 0.499 0.997
Er3 0.782 0.003 0.501
Th1 0.450 0.333 0.667

The following is a PBE calculation of a geometry-optimized Dy6ErTh structure, from the Alexandria database.

Output
energy relative to the elements: 0.219 eV/atom
energy relative to the lowest polymorph listed for this composition: 0.186 eV/atom

Unit cell a=6.643 b=6.558 c=6.740 alpha=84.64 beta=60.64 gamma=87.45
Sites, in units of the cell vectors:
Dy1 0.062 0.754 0.514
Dy2 0.563 0.740 0.527
Dy3 0.437 0.260 0.473
Dy4 0.938 0.246 0.486
Dy5 0.526 0.749 0.027
Dy6 0.474 0.251 0.973
Er1 0.000 0.500 0.000
Th1 0.000 0.000 0.000